VASP calculation (PBE) on a relaxed structure of DyTl2.

Values from the calculation:
- energy relative to the elements (eV per atom) = -0.125
- E (Ha/atom) = -0.119

a b c (Å): 3.6903 3.6903 6.7382
angles (deg): 107.36 107.36 86.51
With the nearest neighbours (Å) after each atom.
Fractional coordinates of all 3 atoms:
Tl 0.1679 0.1679 0.3357  4 Tl 3.24-3.38, 4 Dy 3.26-3.41
Tl 0.8321 0.8321 0.6643  4 Tl 3.24-3.38, 4 Dy 3.26-3.41
Dy 0.5000 0.5000 0.0000  8 Tl 3.26-3.41

VASP calculation (PBE) on a relaxed structure of CdSnBi.

Values from the calculation:
- energy relative to the elements (eV per atom) = 0.082
- E (Ha/atom) = -0.105

a b c (Å): 4.5915 4.5901 11.5925
angles (deg): 67.22 67.21 59.75
With the nearest neighbours (Å) after each atom.
Fractional coordinates of all 6 atoms:
Sn 0.9047 0.3740 0.3099  3 Bi 3.16-3.19, 3 Sn 3.26-3.30, 1 Cd 3.48
Sn 0.6983 0.1664 0.1224  3 Bi 3.13, 3 Sn 3.26-3.30
Bi 0.4590 0.9290 0.4787  3 Cd 3.15-3.17, 3 Sn 3.16-3.19
Bi 0.4708 0.9393 0.9609  3 Sn 3.13, 4 Cd 3.22-3.27
Cd 0.6813 0.1511 0.6457  3 Cd 2.99-3.01, 4 Bi 3.15-3.27
Cd 0.9237 0.3926 0.7821  3 Cd 2.99-3.01, 3 Bi 3.22-3.26

- Number 2 is which compound?
  CdSnBi

- What is the E in the second record?
  -0.105 Ha/atom